Record 1
# Ac2InAg3Ge4, optimized geometry, DFT GGA-PBE
# magnetization	0.00	μB/cell
# V	23.34	Å³/atom
# energy	-4.1765	eV/atom
data_Ac2InAg3Ge4
_cell_length_a 4.583
_cell_length_b 4.583
_cell_length_c 11.112
_cell_angle_alpha 90.00
_cell_angle_beta 90.00
_cell_angle_gamma 90.00
_symmetry_space_group_name_H-M 'P -4 m 2'
_symmetry_Int_Tables_number 115
loop_
_symmetry_equiv_pos_as_xyz
'x,y,z'
'y,-x,-z'
'-x,-y,z'
'-y,x,-z'
'-x,y,z'
'-y,-x,-z'
'x,-y,z'
'y,x,-z'
loop_
_atom_site_label
_atom_site_type_symbol
_atom_site_fract_x
_atom_site_fract_y
_atom_site_fract_z
Ac1 Ac 0.000 0.500 0.239
In1 In 0.000 0.000 0.500
Ag1 Ag 0.000 0.500 0.876
Ag2 Ag 0.500 0.500 0.500
Ge1 Ge 0.000 0.000 0.000
Ge2 Ge 0.000 0.500 0.645
Ge3 Ge 0.500 0.500 0.000

***

Record 2
# Ac2AgGe4Ir3, optimized geometry, DFT GGA-PBE
# magnetization	0.00	μB/cell
# V	20.46	Å³/atom
# energy	-6.2425	eV/atom
data_Ac2AgGe4Ir3
_cell_length_a 4.462
_cell_length_b 4.462
_cell_length_c 10.279
_cell_angle_alpha 90.00
_cell_angle_beta 90.00
_cell_angle_gamma 90.00
_symmetry_space_group_name_H-M 'P -4 m 2'
_symmetry_Int_Tables_number 115
loop_
_symmetry_equiv_pos_as_xyz
'x,y,z'
'y,-x,-z'
'-x,-y,z'
'-y,x,-z'
'-x,y,z'
'-y,-x,-z'
'x,-y,z'
'y,x,-z'
loop_
_atom_site_label
_atom_site_type_symbol
_atom_site_fract_x
_atom_site_fract_y
_atom_site_fract_z
Ac1 Ac 0.000 0.500 0.241
Ag1 Ag 0.000 0.000 0.500
Ge1 Ge 0.000 0.000 0.000
Ge2 Ge 0.000 0.500 0.635
Ge3 Ge 0.500 0.500 0.000
Ir1 Ir 0.000 0.500 0.878
Ir2 Ir 0.500 0.500 0.500

***

Record 3
# Ac2AgGe3Ir4, optimized geometry, DFT GGA-PBE
# magnetization	0.00	μB/cell
# V	20.19	Å³/atom
# energy	-6.6226	eV/atom
data_Ac2AgGe3Ir4
_cell_length_a 4.309
_cell_length_b 4.309
_cell_length_c 10.876
_cell_angle_alpha 90.00
_cell_angle_beta 90.00
_cell_angle_gamma 90.00
_symmetry_space_group_name_H-M 'P -4 m 2'
_symmetry_Int_Tables_number 115
loop_
_symmetry_equiv_pos_as_xyz
'x,y,z'
'y,-x,-z'
'-x,-y,z'
'-y,x,-z'
'-x,y,z'
'-y,-x,-z'
'x,-y,z'
'y,x,-z'
loop_
_atom_site_label
_atom_site_type_symbol
_atom_site_fract_x
_atom_site_fract_y
_atom_site_fract_z
Ac1 Ac 0.000 0.500 0.248
Ag1 Ag 0.500 0.500 0.000
Ge1 Ge 0.000 0.000 0.000
Ge2 Ge 0.000 0.500 0.622
Ir1 Ir 0.000 0.000 0.500
Ir2 Ir 0.000 0.500 0.852
Ir3 Ir 0.500 0.500 0.500

***

Record 4
# AcLaAgGe, optimized geometry, DFT GGA-PBE
# magnetization	0.17	μB/cell
# V	28.69	Å³/atom
# energy	-4.6049	eV/atom
data_AcLaAgGe
_cell_length_a 7.714
_cell_length_b 7.714
_cell_length_c 7.714
_cell_angle_alpha 90.00
_cell_angle_beta 90.00
_cell_angle_gamma 90.00
_symmetry_space_group_name_H-M 'F -4 3 m'
_symmetry_Int_Tables_number 216
_symmetry_space_group_name_Hall 'F -4 2 3'
loop_
_atom_site_label
_atom_site_type_symbol
_atom_site_fract_x
_atom_site_fract_y
_atom_site_fract_z
Ac1 Ac 0.000 0.000 0.000
La1 La 0.000 0.000 0.500
Ag1 Ag 0.250 0.250 0.250
Ge1 Ge 0.250 0.250 0.750

***

Record 5
# AcLaAg2Ge2, optimized geometry, DFT GGA-PBE
# magnetization	0.00	μB/cell
# V	25.36	Å³/atom
# energy	-4.6122	eV/atom
data_AcLaAg2Ge2
_cell_length_a 4.6110
_cell_length_b 4.6110
_cell_length_c 8.2646
_cell_angle_alpha 90.00
_cell_angle_beta 90.00
_cell_angle_gamma 120.00
_symmetry_space_group_name_H-M 'P -3 m 1'
_symmetry_Int_Tables_number 164
_symmetry_space_group_name_Hall '-P 3 2"'
loop_
_atom_site_label
_atom_site_type_symbol
_atom_site_fract_x
_atom_site_fract_y
_atom_site_fract_z
Ac1 Ac 0.0000 0.0000 0.0000
La1 La 0.0000 0.0000 0.5000
Ag1 Ag 0.3333 0.6667 0.7380
Ge1 Ge 0.3333 0.6667 0.2622

***

Record 6
# LiAc2Ag4Ge3, optimized geometry, DFT GGA-PBE
# magnetization	0.00	μB/cell
# V	22.41	Å³/atom
# energy	-3.9424	eV/atom
data_LiAc2Ag4Ge3
_cell_length_a 4.544
_cell_length_b 4.544
_cell_length_c 10.850
_cell_angle_alpha 90.00
_cell_angle_beta 90.00
_cell_angle_gamma 90.00
_symmetry_space_group_name_H-M 'P -4 m 2'
_symmetry_Int_Tables_number 115
loop_
_symmetry_equiv_pos_as_xyz
'x,y,z'
'y,-x,-z'
'-x,-y,z'
'-y,x,-z'
'-x,y,z'
'-y,-x,-z'
'x,-y,z'
'y,x,-z'
loop_
_atom_site_label
_atom_site_type_symbol
_atom_site_fract_x
_atom_site_fract_y
_atom_site_fract_z
Li1 Li 0.000 0.000 0.000
Ac1 Ac 0.000 0.500 0.744
Ag1 Ag 0.000 0.000 0.500
Ag2 Ag 0.000 0.500 0.121
Ag3 Ag 0.500 0.500 0.500
Ge1 Ge 0.000 0.500 0.360
Ge2 Ge 0.500 0.500 0.000

***

Record 7
# Li3Ac2AgGe4, optimized geometry, DFT GGA-PBE
# magnetization	0.00	μB/cell
# V	21.29	Å³/atom
# energy	-4.0357	eV/atom
data_Li3Ac2AgGe4
_cell_length_a 4.454
_cell_length_b 4.454
_cell_length_c 10.732
_cell_angle_alpha 90.00
_cell_angle_beta 90.00
_cell_angle_gamma 90.00
_symmetry_space_group_name_H-M 'P -4 m 2'
_symmetry_Int_Tables_number 115
loop_
_symmetry_equiv_pos_as_xyz
'x,y,z'
'y,-x,-z'
'-x,-y,z'
'-y,x,-z'
'-x,y,z'
'-y,-x,-z'
'x,-y,z'
'y,x,-z'
loop_
_atom_site_label
_atom_site_type_symbol
_atom_site_fract_x
_atom_site_fract_y
_atom_site_fract_z
Li1 Li 0.000 0.000 0.000
Li2 Li 0.000 0.500 0.625
Ac1 Ac 0.000 0.500 0.253
Ag1 Ag 0.500 0.500 0.000
Ge1 Ge 0.000 0.000 0.500
Ge2 Ge 0.000 0.500 0.864
Ge3 Ge 0.500 0.500 0.500

***

Record 8
# LiAcAgGe2, optimized geometry, DFT GGA-PBE
# magnetization	0.00	μB/cell
# V	21.81	Å³/atom
# energy	-4.1646	eV/atom
data_LiAcAgGe2
_cell_length_a 4.437
_cell_length_b 4.437
_cell_length_c 11.082
_cell_angle_alpha 90.00
_cell_angle_beta 90.00
_cell_angle_gamma 90.00
_symmetry_space_group_name_H-M 'I -4 m 2'
_symmetry_Int_Tables_number 119
_symmetry_space_group_name_Hall 'I -4 -2'
loop_
_atom_site_label
_atom_site_type_symbol
_atom_site_fract_x
_atom_site_fract_y
_atom_site_fract_z
Li1 Li 0.000 0.000 0.000
Ac1 Ac 0.000 0.500 0.750
Ag1 Ag 0.000 0.000 0.500
Ge1 Ge 0.000 0.500 0.136